Density functional theory data (PBE-GGA) for a relaxed KRb3H6Pt2 crystal.

Geometry as CIF:
```
data_KRb3H6Pt2
_chemical_formula_sum 'K1 Rb3 H6 Pt2'
_space_group_name_H-M_alt 'P -3 m 1'
_space_group_IT_number 164
_space_group_name_Hall '-P 3 2"'
_cell_length_a 6.3276
_cell_length_b 6.3276
_cell_length_c 7.3236
_cell_angle_alpha 90.00
_cell_angle_beta 90.00
_cell_angle_gamma 120.00
loop_
_atom_site_label
_atom_site_fract_x
_atom_site_fract_y
_atom_site_fract_z
K1 0.0000 0.0000 0.0000
Rb1 0.0000 0.0000 0.5000
Rb2 0.3333 0.6667 0.2591
H1 0.1827 0.3654 0.7625
Pt1 0.3333 0.6667 0.7912
```

Results
The calculation puts the total energy at -37.31 eV/cell. The density of states at the Fermi level comes out at 5.89 states/eV/f.u. The total magnetic moment comes out at 0.000 μB/cell.